Compound: BeOs4Cl
Source: Alexandria via LeMat-Bulk
Functional: PBE
Structure: relaxed

Output
Size of the total moment   1.66 μB/cell
Energy   -6.91 eV per atom
Formation energy from raw total energies   1.505 eV per atom
Crystal system   cubic

Unit cell a=5.191 b=5.191 c=5.191 alpha=60.00 beta=60.00 gamma=60.00
Fractional coordinates of all 6 atoms:
Cl 0.000 0.000 0.000
Os 0.625 0.625 0.126
Os 0.625 0.625 0.625
Be 0.250 0.250 0.250
Os 0.126 0.625 0.625
Os 0.625 0.126 0.625

***

Compound: NbHgSCl2
Source: Alexandria via LeMat-Bulk
Functional: PBE
Structure: relaxed

Output
Size of the total moment   3.08 μB/cell
Energy   -2.98 eV per atom
Formation energy from raw total energies   0.661 eV per atom
Crystal system   tetragonal

Unit cell a=5.092 b=5.092 c=5.215 alpha=90.00 beta=90.00 gamma=90.00
Fractional coordinates of all 5 atoms:
Cl 0.000 0.500 0.000
Hg 0.000 0.000 0.000
Nb 0.500 0.500 0.500
Cl 0.500 0.000 0.000
S 0.000 0.000 0.500